(1)
VASP calculation (PBE-GGA) on a relaxed Ta7Co6 crystal.

Properties
* energy above the most stable polymorph in this dataset: 0.0 kJ per mole of atoms

a b c (Å): 4.9511 4.9511 26.2066
angles (deg): 90.00 90.00 120.00
Last column: nearest neighbours and their distance in Å.
Space group R-3m (No. 166, hexagonal axes)
Unique sites:
Ta 0.0000 0.0000 0.0000 (multiplicity 3)  6 Co 2.52
Ta 0.0000 0.0000 0.1666 (multiplicity 6)  6 Co 2.71-2.74, 3 Ta 2.86
Ta 0.0000 0.0000 0.3461 (multiplicity 6)  7 Ta 2.72-2.94, 9 Co 2.77-3.01
Ta 0.0000 0.0000 0.4499 (multiplicity 6)  2 Ta 2.62-2.72, 6 Co 2.67
Co 0.0076 0.5038 0.4116 (multiplicity 18)  4 Co 2.42-2.53, 4 Ta 2.52-2.71



(2)
VASP calculation (PBE-GGA) on a relaxed Ta2Co11 crystal.

Properties
* energy above the most stable polymorph in this dataset: 0.0 kJ per mole of atoms

a b c (Å): 4.6420 4.6420 24.6934
angles (deg): 90.00 90.00 120.00
Last column: nearest neighbours and their distance in Å.
Space group R-3m (No. 166, hexagonal axes)
Unique sites:
Ta 0.0000 0.0000 0.1444 (multiplicity 6)  10 Co 2.47-2.74
Co 0.0000 0.0000 0.0445 (multiplicity 6)  1 Co 2.20
Co 0.0000 0.0000 0.3352 (multiplicity 6)  9 Co 2.47-2.68
Co 0.0000 0.0000 0.5000 (multiplicity 3)  6 Co 2.42
Co 0.0030 0.5015 0.9144 (multiplicity 18)  9 Co 2.30-2.53



(3)
VASP calculation (PBE-GGA) on a relaxed Ta13Co16 crystal.

Properties
* energy above the most stable polymorph in this dataset: 0.0 kJ per mole of atoms

a b c (Å): 9.2849 9.2849 9.2849
angles (deg): 90.00 90.00 90.00
Last column: nearest neighbours and their distance in Å.
Space group I-43m (No. 217)
Unique sites:
Ta 0.0000 0.0000 0.0000 (multiplicity 2)  4 Co 2.49
Ta 0.0692 0.3568 0.6432 (multiplicity 24)  6 Co 2.57-2.76
Co 0.0911 0.0911 0.7188 (multiplicity 24)  5 Co 2.39-2.63, 4 Ta 2.57-2.63
Co 0.1547 0.1547 0.1547 (multiplicity 8)  4 Ta 2.49-2.57, 6 Co 2.63



(4)
VASP calculation (PBE-GGA) on a relaxed Ta16Co13 crystal.

Properties
* energy above the most stable polymorph in this dataset: 0.0 kJ per mole of atoms

a b c (Å): 9.4812 9.4812 9.4812
angles (deg): 90.00 90.00 90.00
Last column: nearest neighbours and their distance in Å.
Space group I-43m (No. 217)
Unique sites:
Ta 0.0433 0.3545 0.6455 (multiplicity 24)  5 Co 2.60-2.86, 7 Ta 2.84-2.88
Ta 0.1545 0.1545 0.1545 (multiplicity 8)  7 Co 2.54-2.69
Co 0.0000 0.0000 0.0000 (multiplicity 2)  4 Ta 2.54
Co 0.0925 0.0925 0.7210 (multiplicity 24)  3 Co 2.48-2.50, 5 Ta 2.60-2.69



(5)
VASP calculation (PBE-GGA) on a relaxed Ta5Co8 crystal.

a b c (Å): 4.8238 4.8238 25.7097
angles (deg): 90.00 90.00 120.00
Last column: nearest neighbours and their distance in Å.
Space group R-3m (No. 166, hexagonal axes)
Unique sites:
Ta 0.0000 0.0000 0.0000 (multiplicity 3)  6 Co 2.44
Ta 0.0000 0.0000 0.1662 (multiplicity 6)  6 Co 2.69-2.72, 3 Ta 2.79
Ta 0.0000 0.0000 0.4456 (multiplicity 6)  7 Co 2.57-2.58, 1 Ta 2.80
Co 0.0000 0.0000 0.3458 (multiplicity 6)  4 Ta 2.57-2.80, 6 Co 2.65-2.86
Co 0.0131 0.5066 0.4098 (multiplicity 18)  4 Co 2.32-2.51, 3 Ta 2.44-2.58



(6)
VASP calculation (PBE-GGA) on a relaxed Ta7Co6 crystal.

Properties
* energy above the most stable polymorph in this dataset: 0.0 kJ per mole of atoms

a b c (Å): 4.9489 4.9489 26.2282
angles (deg): 90.00 90.00 120.00
Last column: nearest neighbours and their distance in Å.
Space group R-3m (No. 166, hexagonal axes)
Unique sites:
Ta 0.0000 0.0000 0.0000 (multiplicity 3)  6 Co 2.52
Ta 0.0000 0.0000 0.1663 (multiplicity 6)  6 Co 2.71-2.73, 3 Ta 2.86
Ta 0.0000 0.0000 0.3458 (multiplicity 6)  7 Ta 2.73-2.93, 9 Co 2.77-3.02
Ta 0.0000 0.0000 0.4499 (multiplicity 6)  2 Ta 2.63-2.73, 6 Co 2.67
Co 0.0074 0.5037 0.4118 (multiplicity 18)  4 Co 2.42-2.53, 4 Ta 2.52-2.71



(7)
VASP calculation (PBE-GGA) on a relaxed Ta10Co3 crystal.

Properties
* energy above the most stable polymorph in this dataset: 0.0 kJ per mole of atoms

a b c (Å): 5.3603 5.3603 26.9697
angles (deg): 90.00 90.00 120.00
Last column: nearest neighbours and their distance in Å.
Space group R-3m (No. 166, hexagonal axes)
Unique sites:
Ta 0.0000 0.0000 0.1491 (multiplicity 6)  1 Co 2.71, 3 Ta 2.99
Ta 0.0000 0.0000 0.3332 (multiplicity 6)  9 Ta 2.86-3.09
Ta 0.0010 0.5005 0.9106 (multiplicity 18)  3 Co 2.60-2.90, 6 Ta 2.67-2.87
Co 0.0000 0.0000 0.0487 (multiplicity 6)  1 Co 2.63, 7 Ta 2.71-2.90
Co 0.0000 0.0000 0.5000 (multiplicity 3)  6 Ta 2.60



(8)
VASP calculation (PBE-GGA) on a relaxed Ta7Co8 crystal.

Properties
* energy above the most stable polymorph in this dataset: 0.0 kJ per mole of atoms

a b c (Å): 9.3252 9.3252 4.9255
angles (deg): 90.00 90.00 90.00
Last column: nearest neighbours and their distance in Å.
Space group P4_2/mnm (No. 136)
Unique sites:
Ta 0.0000 0.0000 0.0000 (multiplicity 2)  4 Co 2.65, 8 Ta 2.77-2.86
Ta 0.0687 0.2893 0.0000 (multiplicity 8)  6 Co 2.43-2.68
Ta 0.1106 0.1106 0.5000 (multiplicity 4)  2 Co 2.46
Co 0.0470 0.3664 0.5000 (multiplicity 8)  5 Ta 2.43-2.57, 1 Co 2.64
Co 0.1790 0.8210 0.2465 (multiplicity 8)  2 Co 2.43-2.50, 3 Ta 2.65-2.68



Number 1: formation energy -3.3 eV/f.u.. Number 2: formation energy -0.2 eV/f.u.. Number 3: formation energy -2.3 eV/f.u.. Number 4: formation energy -1.8 eV/f.u.. Number 5: formation energy -2.1 eV/f.u.. Number 6: formation energy -3.3 eV/f.u.. Number 7: formation energy 3.0 eV/f.u.. Number 8: formation energy 0.3 eV/f.u..